No. 1
# FeMo2Br, optimized geometry, DFT PBE
# - E_tot (eV per cell) = -28.3
# - formation energy from raw total energies (eV per atom) = 0.87
# - energy above the most stable polymorph in this dataset (eV per formula unit) = 1.70
data_FeMo2Br
_symmetry_space_group_name_H-M 'P m m m'
_symmetry_Int_Tables_number 47
_cell_length_a 3.033
_cell_length_b 4.514
_cell_length_c 4.604
_cell_angle_alpha 90.00
_cell_angle_beta 90.00
_cell_angle_gamma 90.00
loop_
_symmetry_equiv_pos_as_xyz
'x,y,z'
'-x,-y,-z'
'-x,-y,z'
'x,y,-z'
'x,-y,-z'
'-x,y,z'
'-x,y,-z'
'x,-y,z'
loop_
_atom_site_label
_atom_site_fract_x
_atom_site_fract_y
_atom_site_fract_z
Fe1 0.000 0.000 0.000
Mo1 0.000 0.500 0.500
Mo2 0.500 0.000 0.500
Br1 0.500 0.500 0.000

=====

No. 2
# Cs2ScUO6, optimized geometry, DFT PBE
# - E_tot (eV per cell) = -297.4
# - formation energy from raw total energies (eV per atom) = -2.53
data_Cs2ScUO6
_symmetry_space_group_name_H-M 'F m -3 m'
_symmetry_Int_Tables_number 225
_symmetry_space_group_name_Hall '-F 4 2 3'
_cell_length_a 8.658
_cell_length_b 8.658
_cell_length_c 8.658
_cell_angle_alpha 90.00
_cell_angle_beta 90.00
_cell_angle_gamma 90.00
loop_
_atom_site_label
_atom_site_fract_x
_atom_site_fract_y
_atom_site_fract_z
Cs1 0.250 0.250 0.250
Sc1 0.000 0.000 0.000
U1 0.000 0.000 0.500
O1 0.000 0.000 0.255

=====

No. 3
# Ca2MnSb, optimized geometry, DFT PBE
# - E_tot (eV per cell) = -68.5
# - formation energy from raw total energies (eV per atom) = 0.04
data_Ca2MnSb
_symmetry_space_group_name_H-M 'F -4 3 m'
_symmetry_Int_Tables_number 216
_symmetry_space_group_name_Hall 'F -4 2 3'
_cell_length_a 7.226
_cell_length_b 7.226
_cell_length_c 7.226
_cell_angle_alpha 90.00
_cell_angle_beta 90.00
_cell_angle_gamma 90.00
loop_
_atom_site_label
_atom_site_fract_x
_atom_site_fract_y
_atom_site_fract_z
Ca1 0.000 0.000 0.000
Ca2 0.250 0.250 0.250
Mn1 0.000 0.000 0.500
Sb1 0.250 0.250 0.750